No. 1
Material: Si2TcIr
Method: DFT, SCAN
State: PBEsol geometry

The structure in POSCAR format:
```
Si2TcIr
1.0
2.811 0.000 0.000
0.000 3.793 0.000
0.000 0.000 5.133
Si Tc Ir
2 1 1
direct
0.000 0.000 0.729 Si
0.000 0.000 0.271 Si
0.500 0.500 0.500 Tc
0.000 0.500 0.000 Ir
```

Computed properties:
Offset from the most stable computed form ... 1.43 eV/f.u.
Symmetry ... Pmmm (47)
ΔE_f (raw) ... -0.325 eV per atom
Calculated total energy ... -31.87 eV per atom

=====

No. 2
Material: SiTcIr3
Method: DFT, SCAN
State: PBEsol geometry

The structure in POSCAR format:
```
SiTcIr3
1.0
4.360 0.000 0.000
0.000 4.360 0.000
0.000 0.000 4.360
Tc Si Ir
1 1 3
direct
0.500 0.500 0.500 Tc
0.000 0.000 0.000 Si
0.000 0.000 0.500 Ir
0.500 0.000 0.000 Ir
0.000 0.500 0.000 Ir
```

Computed properties:
Symmetry ... Pm-3m (221)
ΔE_f (raw) ... 0.930 eV per atom
Calculated total energy ... -50.74 eV per atom

=====

No. 3
Material: SiTc4Ir
Method: DFT, SCAN
State: PBEsol geometry

The structure in POSCAR format:
```
SiTc4Ir
1.0
-0.783 -0.351 4.909
2.995 -2.828 2.805
3.178 2.137 3.189
Tc Si Ir
4 1 1
direct
0.375 0.375 0.874 Tc
0.874 0.375 0.375 Tc
0.375 0.375 0.375 Tc
0.375 0.874 0.375 Tc
0.000 0.000 0.000 Si
0.750 0.750 0.750 Ir
```

Computed properties:
Symmetry ... F-43m (216)
ΔE_f (raw) ... 0.520 eV per atom
Calculated total energy ... -36.37 eV per atom

=====

No. 4
Material: Si2TcIr
Method: DFT, SCAN
State: PBEsol geometry

The structure in POSCAR format:
```
Si2TcIr
1.0
2.961 0.000 0.000
0.000 4.151 0.000
0.000 0.000 4.151
Ir Si Tc
1 2 1
direct
0.500 0.000 0.000 Ir
0.000 0.000 0.500 Si
0.000 0.500 0.000 Si
0.500 0.500 0.500 Tc
```

Computed properties:
Offset from the most stable computed form ... 0.09 eV/f.u.
Symmetry ... P4/mmm (123)
ΔE_f (raw) ... -0.661 eV per atom
Calculated total energy ... -32.21 eV per atom

=====

No. 5
Material: Si2TcIr
Method: DFT, SCAN
State: PBEsol geometry

The structure in POSCAR format:
```
Si2TcIr
1.0
-1.204 -0.533 -2.576
0.698 -4.188 0.540
-3.371 1.130 2.967
Tc Si Ir
1 2 1
direct
0.493 0.421 0.986 Tc
0.750 0.311 0.500 Si
0.002 0.946 0.004 Si
0.255 0.822 0.510 Ir
```

Computed properties:
Offset from the most stable computed form ... 0.43 eV/f.u.
Symmetry ... Cm (8)
ΔE_f (raw) ... -0.577 eV per atom
Calculated total energy ... -32.12 eV per atom

=====

No. 6
Material: Si2TcIr
Method: DFT, SCAN
State: PBEsol geometry

The structure in POSCAR format:
```
Si2TcIr
1.0
4.156 0.000 0.000
2.078 3.600 0.000
2.078 1.200 3.394
Si Ir Tc
2 1 1
direct
0.750 0.750 0.750 Si
0.250 0.250 0.250 Si
0.500 0.500 0.500 Ir
0.000 0.000 0.000 Tc
```

Computed properties:
Offset from the most stable computed form ... 0.00 eV/f.u.
Symmetry ... Fm-3m (225)
ΔE_f (raw) ... -0.683 eV per atom
Calculated total energy ... -32.23 eV per atom

=====

No. 7
Material: SiTe3Ir
Method: DFT, SCAN
State: PBEsol geometry

The structure in POSCAR format:
```
SiTe3Ir
1.0
-1.773 -1.247 -4.490
-3.913 -2.210 2.159
-2.530 4.291 -0.193
Te Si Ir
3 1 1
direct
0.500 0.000 0.000 Te
0.000 0.000 0.500 Te
0.000 0.500 0.000 Te
0.000 0.000 0.000 Si
0.500 0.500 0.500 Ir
```

Computed properties:
Symmetry ... Pm-3m (221)
ΔE_f (raw) ... 1.395 eV per atom
Calculated total energy ... -37.18 eV per atom

=====

No. 8
Material: ThSi2Ir2
Method: DFT, SCAN
State: PBEsol geometry

The structure in POSCAR format:
```
ThSi2Ir2
1.0
-1.748 3.686 0.147
-2.383 -1.004 -3.158
-1.419 -3.121 4.702
Si Ir Th
2 2 1
direct
0.621 0.621 0.242 Si
0.379 0.379 0.758 Si
0.750 0.250 0.500 Ir
0.250 0.750 0.500 Ir
0.000 0.000 0.000 Th
```

Computed properties:
Symmetry ... I4/mmm (139)
ΔE_f (raw) ... -1.164 eV per atom
Calculated total energy ... -52.79 eV per atom

=====

No. 9
Material: ThSi2Ir2
Method: DFT, SCAN
State: PBEsol geometry

The structure in POSCAR format:
```
ThSi2Ir2
1.0
4.149 0.000 0.000
0.000 4.149 0.000
0.000 0.000 9.893
Si Th Ir
4 2 4
direct
0.500 0.000 0.869 Si
0.000 0.500 0.131 Si
0.500 0.500 0.500 Si
0.000 0.000 0.500 Si
0.000 0.500 0.746 Th
0.500 0.000 0.254 Th
0.000 0.000 0.000 Ir
0.000 0.500 0.373 Ir
0.500 0.000 0.627 Ir
0.500 0.500 0.000 Ir
```

Computed properties:
Symmetry ... P4/nmm (129)
ΔE_f (raw) ... -1.232 eV per atom
Calculated total energy ... -52.86 eV per atom

=====

No. 10
Material: Th2Si3Ir
Method: DFT, SCAN
State: PBEsol geometry

The structure in POSCAR format:
```
Th2Si3Ir
1.0
4.080 0.000 0.000
0.000 4.187 0.000
-2.040 -2.093 7.075
Si Th Ir
3 2 1
direct
0.583 0.583 0.166 Si
0.416 0.416 0.832 Si
0.169 0.669 0.338 Si
0.748 0.248 0.496 Th
0.999 0.999 0.998 Th
0.335 0.835 0.670 Ir
```

Computed properties:
Symmetry ... Imm2 (44)
ΔE_f (raw) ... -0.935 eV per atom
Calculated total energy ... -49.77 eV per atom

=====

No. 11
Material: TiSiIr
Method: DFT, SCAN
State: PBEsol geometry

The structure in POSCAR format:
```
TiSiIr
1.0
3.843 0.000 0.000
0.000 6.203 0.000
0.000 0.000 7.180
Si Ir Ti
4 4 4
direct
0.250 0.271 0.876 Si
0.750 0.729 0.124 Si
0.750 0.229 0.376 Si
0.250 0.771 0.624 Si
0.750 0.844 0.439 Ir
0.750 0.344 0.061 Ir
0.250 0.656 0.939 Ir
0.250 0.156 0.561 Ir
0.250 0.523 0.320 Ti
0.750 0.977 0.820 Ti
0.750 0.477 0.680 Ti
0.250 0.023 0.180 Ti
```

Computed properties:
Symmetry ... Pnma (62)
ΔE_f (raw) ... -1.147 eV per atom
Calculated total energy ... -33.53 eV per atom

=====

No. 12
Material: Ti2Si2Ir
Method: DFT, SCAN
State: PBEsol geometry

The structure in POSCAR format:
```
Ti2Si2Ir
1.0
-0.625 3.057 -2.286
-5.484 -2.216 -1.463
-2.465 3.004 4.692
Ti Si Ir
4 4 2
direct
0.500 0.664 0.836 Ti
0.500 0.836 0.336 Ti
0.500 0.164 0.664 Ti
0.500 0.336 0.164 Ti
0.000 0.637 0.137 Si
0.000 0.137 0.363 Si
0.000 0.363 0.863 Si
0.000 0.863 0.637 Si
0.000 0.500 0.500 Ir
0.000 0.000 0.000 Ir
```

Computed properties:
Symmetry ... P4/mbm (127)
ΔE_f (raw) ... -1.001 eV per atom
Calculated total energy ... -25.64 eV per atom

=====

No. 13
Material: TlSi2Ir
Method: DFT, SCAN
State: PBEsol geometry

The structure in POSCAR format:
```
TlSi2Ir
1.0
4.095 0.000 0.000
0.000 4.255 0.016
0.000 -1.289 4.508
Ir Tl Si
1 1 2
direct
0.500 0.500 0.000 Ir
0.500 0.000 0.500 Tl
0.000 0.428 0.238 Si
0.000 0.572 0.762 Si
```

Computed properties:
Offset from the most stable computed form ... 0.82 eV/f.u.
Symmetry ... P2/m (10)
ΔE_f (raw) ... 0.126 eV per atom
Calculated total energy ... -40.75 eV per atom

=====

No. 14
Material: TlSi2Ir
Method: DFT, SCAN
State: PBEsol geometry

The structure in POSCAR format:
```
TlSi2Ir
1.0
3.672 0.000 0.000
0.000 4.258 0.000
0.000 0.000 4.258
Si Tl Ir
2 1 1
direct
0.000 0.500 0.000 Si
0.000 0.000 0.500 Si
0.500 0.500 0.500 Tl
0.500 0.000 0.000 Ir
```

Computed properties:
Offset from the most stable computed form ... 3.51 eV/f.u.
Symmetry ... P4/mmm (123)
ΔE_f (raw) ... 0.798 eV per atom
Calculated total energy ... -40.07 eV per atom

=====

No. 15
Material: Tl2SiIr
Method: DFT, SCAN
State: PBEsol geometry

The structure in POSCAR format:
```
Tl2SiIr
1.0
-2.870 0.523 0.733
-0.149 -4.018 2.285
3.337 4.594 3.616
Tl Ir Si
2 1 1
direct
0.985 0.985 0.969 Tl
0.796 0.296 0.591 Tl
0.536 0.536 0.072 Ir
0.184 0.684 0.367 Si
```

Computed properties:
Symmetry ... Imm2 (44)
ΔE_f (raw) ... 0.290 eV per atom
Calculated total energy ... -56.17 eV per atom

=====

No. 16
Material: TlSi2Ir
Method: DFT, SCAN
State: PBEsol geometry

The structure in POSCAR format:
```
TlSi2Ir
1.0
-3.045 -2.261 1.190
3.731 -1.290 0.458
-1.152 4.066 4.775
Tl Ir Si
1 1 2
direct
0.000 0.000 0.500 Tl
0.500 0.000 0.000 Ir
0.204 0.408 0.120 Si
0.796 0.592 0.880 Si
```

Computed properties:
Offset from the most stable computed form ... 0.00 eV/f.u.
Symmetry ... C2/m (12)
ΔE_f (raw) ... -0.079 eV per atom
Calculated total energy ... -40.95 eV per atom

=====

No. 17
Material: USi3Ir
Method: DFT, SCAN
State: PBEsol geometry

The structure in POSCAR format:
```
USi3Ir
1.0
4.118 0.000 0.000
0.000 4.118 0.000
-2.059 -2.059 4.842
Si Ir U
3 1 1
direct
0.735 0.235 0.470 Si
0.235 0.735 0.470 Si
0.588 0.588 0.177 Si
0.349 0.349 0.698 Ir
0.005 0.005 0.009 U
```

Computed properties:
Symmetry ... I4mm (107)
ΔE_f (raw) ... -0.541 eV per atom
Calculated total energy ... -41.48 eV per atom

=====

No. 18
Material: SiIrW2
Method: DFT, SCAN
State: PBEsol geometry

The structure in POSCAR format:
```
SiIrW2
1.0
-3.540 1.250 -0.711
-0.937 -0.573 3.659
3.375 3.376 -0.601
W Ir Si
2 1 1
direct
0.750 0.250 0.500 W
0.000 0.000 0.000 W
0.500 0.500 0.000 Ir
0.250 0.750 0.500 Si
```

Computed properties:
Symmetry ... I-4m2 (119)
ΔE_f (raw) ... 0.066 eV per atom
Calculated total energy ... -55.06 eV per atom

=====

No. 19
Material: SiIrW2
Method: DFT, SCAN
State: PBEsol geometry

The structure in POSCAR format:
```
SiIrW2
1.0
-1.228 -2.412 0.391
2.677 -0.764 3.692
-3.147 2.041 2.704
Si Ir W
1 1 2
direct
0.500 0.000 0.000 Si
0.500 0.500 0.500 Ir
0.000 0.000 0.500 W
0.000 0.500 0.000 W
```

Computed properties:
Symmetry ... P4/mmm (123)
ΔE_f (raw) ... 0.106 eV per atom
Calculated total energy ... -55.02 eV per atom

=====

No. 20
Material: SiIr2W
Method: DFT, SCAN
State: PBEsol geometry

The structure in POSCAR format:
```
SiIr2W
1.0
-0.054 2.743 4.660
-3.265 -3.732 2.158
6.074 -2.365 -1.675
Si Ir W
2 4 2
direct
0.500 0.500 0.000 Si
0.750 0.250 0.500 Si
0.394 0.875 0.250 Ir
0.125 0.144 0.750 Ir
0.625 0.606 0.750 Ir
0.856 0.375 0.250 Ir
0.250 0.750 0.500 W
0.000 0.000 0.000 W
```

Computed properties:
Symmetry ... I-42d (122)
ΔE_f (raw) ... 0.287 eV per atom
Calculated total energy ... -55.19 eV per atom